Compound: AgBBr2
Source: Alexandria via LeMat-Bulk
Functional: PBE
Structure: relaxed

abc: 7.7717 7.7717 7.7717
angles: 134.53 134.53 66.25
Element x y z (fractional)
1 Ag 0.0000 0.0000 0.0000
2 Ag 0.7500 0.2500 0.5000
3 B 0.2500 0.7500 0.5000
4 B 0.5000 0.5000 0.0000
5 Br 0.1435 0.6250 0.0185
6 Br 0.3750 0.3935 0.5185
7 Br 0.6065 0.1250 0.9815
8 Br 0.8750 0.8565 0.4815

## Properties
**Total magnetization**: 0.0 Bohr magnetons per cell


Compound: AgB3Br
Source: Alexandria via LeMat-Bulk
Functional: PBE
Structure: relaxed

abc: 4.3600 4.3600 4.3600
angles: 90.00 90.00 90.00
Element x y z (fractional)
1 Ag 0.0000 0.0000 0.0000
2 B 0.0000 0.0000 0.5000
3 B 0.0000 0.5000 0.0000
4 B 0.5000 0.0000 0.0000
5 Br 0.5000 0.5000 0.5000

## Properties
**Total magnetization**: 0.0 Bohr magnetons per cell


Compound: AgBBr4
Source: Alexandria via LeMat-Bulk
Functional: PBE
Structure: relaxed

abc: 6.5238 6.5238 8.7065
angles: 90.00 90.00 112.10
Element x y z (fractional)
1 Ag 0.0000 0.0000 0.0000
2 Ag 0.0000 0.0000 0.5000
3 B 0.3606 0.6394 0.7500
4 B 0.6394 0.3606 0.2500
5 Br 0.2498 0.2951 0.7500
6 Br 0.2629 0.7371 0.5548
7 Br 0.2629 0.7371 0.9452
8 Br 0.2951 0.2498 0.2500
9 Br 0.7049 0.7502 0.7500
10 Br 0.7371 0.2629 0.0548
11 Br 0.7371 0.2629 0.4452
12 Br 0.7502 0.7049 0.2500

## Properties
**Total magnetization**: 0.0 Bohr magnetons per cell


no.,energy relative to the lowest polymorph listed for this composition (meV per atom),uncorrected formation energy (meV per atom)
1,0,671
2,0,1913
3,0,-362